Entry 1:
BaYH2 PBE optimized geometry; crystal system = cubic; excess energy over the best structure of this formula in the dataset = 540 meV/atom; energy = -3.4633 eV/atom; total moment = 0.0 μB/f.u.
1.0
0.000 3.357 3.357
3.357 0.000 3.357
3.357 3.357 0.000
Ba Y H
1 1 2
direct
0.000 0.000 0.000
0.500 0.500 0.500
0.250 0.250 0.250
0.750 0.750 0.750

***

Entry 2:
BaYZn2H PBE optimized geometry; crystal system = tetragonal; energy = -1.4247 eV/atom; total moment = 0.0 μB/f.u.
1.0
6.052 0.000 0.000
0.000 6.052 0.000
0.000 0.000 6.647
Ba Y Zn H
1 1 2 1
direct
0.000 0.000 0.000
0.000 0.000 0.500
0.000 0.500 0.000
0.500 0.000 0.000
0.500 0.500 0.500

***

Entry 3:
Ba2ZnH5 PBE optimized geometry; crystal system = tetragonal; energy = -3.0555 eV/atom; total moment = 0.0 μB/f.u.
1.0
-2.839 2.839 3.934
2.839 -2.839 3.934
2.839 2.839 -3.934
Ba Zn H
2 1 5
direct
0.000 0.500 0.500
0.500 0.000 0.500
0.252 0.252 0.000
0.013 0.013 0.545
0.013 0.467 0.000
0.467 0.013 0.000
0.467 0.467 0.455
0.475 0.475 0.000

***

Entry 4:
BaZn2H6 PBE optimized geometry; crystal system = monoclinic; excess energy over the best structure of this formula in the dataset = 30 meV/atom; energy = -2.8864 eV/atom; total moment = 0.0 μB/f.u.
1.0
6.111 -2.238 0.000
6.111 2.238 0.000
-1.994 0.000 4.607
Ba Zn H
1 2 6
direct
0.000 0.000 0.000
0.244 0.244 0.814
0.756 0.756 0.186
0.109 0.109 0.579
0.241 0.241 0.148
0.375 0.375 0.809
0.625 0.625 0.191
0.759 0.759 0.852
0.891 0.891 0.421

***

Entry 5:
Ba2ZnH4 PBE optimized geometry; crystal system = tetragonal; energy = -2.8641 eV/atom; total moment = 0.0 μB/f.u.
1.0
-1.992 1.992 8.006
1.992 -1.992 8.006
1.992 1.992 -8.006
Ba Zn H
2 1 4
direct
0.130 0.130 0.000
0.870 0.870 0.000
0.500 0.500 0.000
0.000 0.500 0.500
0.390 0.390 0.000
0.500 0.000 0.500
0.610 0.610 0.000

***

Entry 6:
Ba3ZnH PBE optimized geometry; crystal system = monoclinic; excess energy over the best structure of this formula in the dataset = 0 meV/atom; energy = -2.2777 eV/atom; total moment = 0.0 μB/f.u.
1.0
4.584 0.000 0.000
0.000 11.453 0.000
-2.286 0.000 7.500
Ba Zn H
6 2 2
direct
0.062 0.250 0.125
0.358 0.077 0.715
0.358 0.423 0.715
0.642 0.577 0.285
0.642 0.923 0.285
0.938 0.750 0.875
0.253 0.750 0.507
0.747 0.250 0.493
0.474 0.250 0.949
0.526 0.750 0.051

***

Entry 7:
BaZn2H7 PBE optimized geometry; crystal system = orthorhombic; energy = -2.7473 eV/atom; total moment = 0.0 μB/f.u.
1.0
2.462 -6.453 0.000
2.462 6.453 0.000
0.000 0.000 3.680
Ba Zn H
1 2 7
direct
0.000 0.000 0.000
0.365 0.635 0.500
0.635 0.365 0.500
0.025 0.317 0.500
0.317 0.025 0.500
0.357 0.643 0.000
0.500 0.500 0.500
0.643 0.357 0.000
0.683 0.975 0.500
0.975 0.683 0.500

***

Entry 8:
Ba3ZnH PBE optimized geometry; crystal system = cubic; excess energy over the best structure of this formula in the dataset = 121 meV/atom; energy = -2.1568 eV/atom; total moment = 0.0 μB/f.u.
1.0
5.626 0.000 0.000
0.000 5.626 0.000
0.000 0.000 5.626
Ba Zn H
3 1 1
direct
0.000 0.000 0.500
0.000 0.500 0.000
0.500 0.000 0.000
0.500 0.500 0.500
0.000 0.000 0.000

***

Entry 9:
BaZn2H PBE optimized geometry; crystal system = tetragonal; excess energy over the best structure of this formula in the dataset = 0 meV/atom; energy = -1.8049 eV/atom; total moment = 0.0 μB/f.u.
1.0
-3.095 3.095 4.366
3.095 -3.095 4.366
3.095 3.095 -4.366
Ba Zn H
2 4 2
direct
0.375 0.625 0.750
0.625 0.375 0.250
0.000 0.000 0.000
0.000 0.000 0.500
0.000 0.500 0.000
0.500 0.000 0.500
0.125 0.875 0.250
0.875 0.125 0.750

***

Entry 10:
BaZn3H9 PBE optimized geometry; crystal system = orthorhombic; energy = -2.7441 eV/atom; total moment = 0.0 μB/f.u.
1.0
4.449 -5.345 0.000
4.449 5.345 0.000
0.000 0.000 7.564
Ba Zn H
2 6 18
direct
0.155 0.155 0.000
0.845 0.845 0.500
0.233 0.233 0.500
0.379 0.607 0.534
0.393 0.621 0.966
0.607 0.379 0.466
0.621 0.393 0.034
0.767 0.767 0.000
0.101 0.133 0.666
0.133 0.101 0.334
0.162 0.784 0.790
0.164 0.468 0.481
0.169 0.578 0.019
0.216 0.838 0.710
0.422 0.831 0.481
0.462 0.538 0.750
0.468 0.164 0.519
0.532 0.836 0.019
0.538 0.462 0.250
0.578 0.169 0.981
0.784 0.162 0.210
0.831 0.422 0.519
0.836 0.532 0.981
0.838 0.216 0.290
0.867 0.899 0.834
0.899 0.867 0.166

***

Entry 11:
Ba12Zn3H5 PBE optimized geometry; crystal system = cubic; energy = -2.3806 eV/atom; total moment = 0.2 μB/f.u.
1.0
-9.063 9.063 9.063
9.063 -9.063 9.063
9.063 9.063 -9.063
Ba Zn H
48 12 20
direct
0.023 0.212 0.119
0.023 0.311 0.904
0.092 0.712 0.689
0.092 0.881 0.404
0.096 0.619 0.408
0.096 0.977 0.689
0.119 0.023 0.212
0.119 0.596 0.908
0.189 0.212 0.592
0.189 0.477 0.596
0.212 0.119 0.023
0.212 0.592 0.189
0.288 0.311 0.908
0.288 0.477 0.381
0.311 0.904 0.023
0.311 0.908 0.288
0.381 0.288 0.477
0.381 0.592 0.904
0.404 0.092 0.881
0.404 0.811 0.523
0.408 0.096 0.619
0.408 0.811 0.788
0.477 0.381 0.288
0.477 0.596 0.189
0.523 0.404 0.811
0.523 0.619 0.712
0.592 0.189 0.212
0.592 0.904 0.381
0.596 0.189 0.477
0.596 0.908 0.119
0.619 0.408 0.096
0.619 0.712 0.523
0.689 0.092 0.712
0.689 0.096 0.977
0.712 0.523 0.619
0.712 0.689 0.092
0.788 0.408 0.811
0.788 0.881 0.977
0.811 0.523 0.404
0.811 0.788 0.408
0.881 0.404 0.092
0.881 0.977 0.788
0.904 0.023 0.311
0.904 0.381 0.592
0.908 0.119 0.596
0.908 0.288 0.311
0.977 0.689 0.096
0.977 0.788 0.881
0.125 0.250 0.375
0.125 0.375 0.750
0.250 0.375 0.125
0.250 0.875 0.625
0.375 0.125 0.250
0.375 0.750 0.125
0.625 0.250 0.875
0.625 0.875 0.750
0.750 0.125 0.375
0.750 0.625 0.875
0.875 0.625 0.250
0.875 0.750 0.625
0.000 0.000 0.000
0.000 0.000 0.500
0.000 0.500 0.000
0.000 0.500 0.500
0.125 0.750 0.875
0.125 0.875 0.250
0.250 0.125 0.875
0.250 0.625 0.375
0.375 0.250 0.625
0.375 0.625 0.750
0.500 0.000 0.000
0.500 0.000 0.500
0.500 0.500 0.000
0.500 0.500 0.500
0.625 0.375 0.250
0.625 0.750 0.375
0.750 0.375 0.625
0.750 0.875 0.125
0.875 0.125 0.750
0.875 0.250 0.125

***

Entry 12:
Ba6Zn2H PBE optimized geometry; crystal system = monoclinic; energy = -2.0073 eV/atom; total moment = 0.0 μB/f.u.
1.0
7.764 -2.151 0.000
7.764 2.151 0.000
-4.759 0.000 12.171
Ba Zn H
6 2 1
direct
0.020 0.020 0.289
0.185 0.185 0.610
0.352 0.352 0.951
0.648 0.648 0.049
0.815 0.815 0.390
0.980 0.980 0.711
0.328 0.328 0.198
0.672 0.672 0.802
0.000 0.000 0.500

***

Which formula does entry 2 have? BaYZn2H